Density functional theory data (PBE-GGA) for a relaxed ScTl3P crystal.

```
ScTl3P
1.0
5.6044 0.0000 0.0000
0.0000 5.6044 0.0000
0.0000 0.0000 5.6044
Sc Tl P
1 3 1
direct
0.0000 0.0000 0.0000
0.0000 0.0000 0.5000
0.0000 0.5000 0.0000
0.5000 0.0000 0.0000
0.5000 0.5000 0.5000
```

Distance to the lowest polymorph of the same formula = 263.2 meV per atom
Formation energy from the elements = 18.6 kcal/mol of atoms
Electronic total energy = -2.96 eV per atom